Entry from Alexandria: crystalline Al2ReMo at its relaxed geometry (PBEsol).

Properties
E_form	-0.084	eV per atom
ρ	9.6	g cm⁻³
uncorrected energy	-8.4044	eV/atom
space-group type	Pmmm
energy above the lowest structure with this stoichiometry	0.217	eV/atom

The structure in CIF format:
```
data_Al2ReMo
_cell_length_a 3.1744
_cell_length_b 4.1834
_cell_length_c 4.3834
_cell_angle_alpha 90.00
_cell_angle_beta 90.00
_cell_angle_gamma 90.00
_symmetry_space_group_name_H-M 'P 1'
_symmetry_Int_Tables_number 1
loop_
_symmetry_equiv_pos_as_xyz
'x,y,z'
loop_
_atom_site_label
_atom_site_type_symbol
_atom_site_fract_x
_atom_site_fract_y
_atom_site_fract_z
_atom_site_occupancy
Al1 Al 0.0000 0.0000 0.0000 1
Al2 Al 0.5000 0.0000 0.5000 1
Re1 Re 0.0000 0.5000 0.5000 1
Mo1 Mo 0.5000 0.5000 0.0000 1
```